This record from the Alexandria database describes a relaxed structure of ZnTe2PS. The functional is PBE.

density = 5.0 g/cm3
E_tot = -2.699 eV/atom
magnetic moment = 0.00 μB per cell
formation energy without anion corrections = 0.72 eV/atom

a = 5.2478 Å, b = 5.2478 Å, c = 4.6051 Å
α = 90.00°, β = 90.00°, γ = 90.00°
Space group P4/mmm (No. 123)
One atom of each set of equivalent atoms:
Zn 0.0000 0.0000 0.0000 (multiplicity 1)
Te 0.0000 0.5000 0.5000 (multiplicity 2)
P 0.5000 0.5000 0.0000 (multiplicity 1)
S 0.5000 0.5000 0.5000 (multiplicity 1)

This record from the Alexandria database describes a relaxed structure of MnRu3S. The functional is PBE.

density = 7.6 g/cm3
excess energy over the best structure of this formula in the dataset = 0.6328 eV per atom
E_tot = -6.691 eV/atom
magnetic moment = 0.00 μB per cell
formation energy without anion corrections = 1.53 eV/atom

a = 4.4094 Å, b = 4.4094 Å, c = 4.4094 Å
α = 90.00°, β = 90.00°, γ = 90.00°
Space group Pm-3m (No. 221)
One atom of each set of equivalent atoms:
Mn 0.0000 0.0000 0.0000 (multiplicity 1)
Ru 0.0000 0.0000 0.5000 (multiplicity 3)
S 0.5000 0.5000 0.5000 (multiplicity 1)

This record from the Alexandria database describes a relaxed structure of Tl2TcTeO6. The functional is PBE.

density = 7.0 g/cm3
E_tot = -5.605 eV/atom
magnetic moment = 2.01 μB per cell
formation energy without anion corrections = -0.81 eV/atom

a = 5.4873 Å, b = 5.4873 Å, c = 11.5132 Å
α = 90.00°, β = 90.00°, γ = 90.00°
Space group I4/mmm (No. 139)
One atom of each set of equivalent atoms:
Tl 0.0000 0.5000 0.2500 (multiplicity 4)
Tc 0.0000 0.0000 0.0000 (multiplicity 2)
Te 0.0000 0.0000 0.5000 (multiplicity 2)
O 0.0000 0.0000 0.3370 (multiplicity 4)
O 0.2422 0.2422 0.0000 (multiplicity 8)

This record from the Alexandria database describes a relaxed structure of NdErHg5. The functional is PBE.

density = 11.5 g/cm3
E_tot = -1.797 eV/atom
magnetic moment = 0.00 μB per cell
formation energy = -248 meV per atom

a = 6.4456 Å, b = 8.4307 Å, c = 6.9875 Å
α = 90.00°, β = 90.00°, γ = 90.00°
Space group Cmmm (No. 65)
One atom of each set of equivalent atoms:
Nd 0.0000 0.0000 0.0000 (multiplicity 2)
Er 0.0000 0.5000 0.5000 (multiplicity 2)
Hg 0.0000 0.0000 0.5000 (multiplicity 2)
Hg 0.2500 0.2500 0.2435 (multiplicity 8)

This record from the Alexandria database describes a relaxed structure of MgIrPt2. The functional is PBE.

density = 16.3 g/cm3
E_tot = -5.997 eV/atom
magnetic moment = 0.00 μB per cell
formation energy = -363 meV per atom

a = 9.3276 Å, b = 2.8038 Å, c = 4.7891 Å
α = 90.00°, β = 100.04°, γ = 90.00°
Space group Cm (No. 8)
One atom of each set of equivalent atoms:
Mg 0.0000 0.0000 0.0000 (multiplicity 2)
Ir 0.2474 0.5000 0.2797 (multiplicity 2)
Pt 0.2517 0.0000 0.7782 (multiplicity 2)
Pt 0.4954 0.0000 0.4920 (multiplicity 2)

This record from the Alexandria database describes a relaxed structure of Sr2CoBTe. The functional is PBE.

density = 3.6 g/cm3
E_tot = -3.198 eV/atom
magnetic moment = 1.84 μB per cell
formation energy without anion corrections = 0.86 eV/atom

a = 6.2226 Å, b = 6.2226 Å, c = 4.4036 Å
α = 90.00°, β = 90.00°, γ = 90.00°
Space group P4/mmm (No. 123)
One atom of each set of equivalent atoms:
Sr 0.0000 0.5000 0.0000 (multiplicity 2)
Co 0.0000 0.0000 0.5000 (multiplicity 1)
B 0.5000 0.5000 0.5000 (multiplicity 1)
Te 0.5000 0.5000 0.0000 (multiplicity 1)

This record from the Alexandria database describes a relaxed structure of Co3Re2. The functional is PBE.

density = 14.3 g/cm3
excess energy over the best structure of this formula in the dataset = 0.2124 eV per atom
E_tot = -9.074 eV/atom
magnetic moment = 6.46 μB per cell
formation energy = 169 meV per atom

a = 2.6571 Å, b = 2.6571 Å, c = 31.2579 Å
α = 90.00°, β = 90.00°, γ = 120.00°
Space group R-3m (No. 166, hexagonal axes)
One atom of each set of equivalent atoms:
Co 0.0000 0.0000 0.0000 (multiplicity 3)
Co 0.0000 0.0000 0.1982 (multiplicity 6)
Re 0.0000 0.0000 0.4007 (multiplicity 6)

This record from the Alexandria database describes a relaxed structure of MgMnGa3. The functional is PBE.

density = 5.0 g/cm3
excess energy over the best structure of this formula in the dataset = 0.1343 eV per atom
E_tot = -3.832 eV/atom
magnetic moment = 0.00 μB per cell
formation energy = 137 meV per atom

a = 4.5774 Å, b = 4.5774 Å, c = 4.5774 Å
α = 90.00°, β = 90.00°, γ = 90.00°
Space group Pm-3m (No. 221)
One atom of each set of equivalent atoms:
Mg 0.0000 0.0000 0.0000 (multiplicity 1)
Mn 0.5000 0.5000 0.5000 (multiplicity 1)
Ga 0.0000 0.5000 0.5000 (multiplicity 3)

This record from the Alexandria database describes a relaxed structure of Cu2RuSe. The functional is PBE.

density = 8.6 g/cm3
E_tot = -4.801 eV/atom
magnetic moment = 0.00 μB per cell
formation energy without anion corrections = 0.44 eV/atom

a = 2.8847 Å, b = 4.7092 Å, c = 8.7506 Å
α = 90.00°, β = 90.00°, γ = 90.00°
Space group Cmm2 (No. 35)
One atom of each set of equivalent atoms:
Cu 0.0000 0.0000 0.0000 (multiplicity 2)
Cu 0.0000 0.5000 0.2264 (multiplicity 2)
Ru 0.0000 0.5000 0.7526 (multiplicity 2)
Se 0.0000 0.0000 0.5157 (multiplicity 2)

This record from the Alexandria database describes a relaxed structure of KRbGe2Br6. The functional is PBE.

density = 2.9 g/cm3
E_tot = -3.184 eV/atom
magnetic moment = 0.00 μB per cell
formation energy without anion corrections = -1.05 eV/atom

a = 11.6304 Å, b = 16.0573 Å, c = 10.3655 Å
α = 90.00°, β = 119.10°, γ = 90.00°
Space group C2/c (No. 15)
One atom of each set of equivalent atoms:
K 0.0000 0.2394 0.2500 (multiplicity 4)
Rb 0.0000 0.4172 0.7500 (multiplicity 4)
Ge 0.1388 0.1060 0.6904 (multiplicity 8)
Br 0.1162 0.4112 0.1379 (multiplicity 8)
Br 0.1393 0.0561 0.4630 (multiplicity 8)
Br 0.1572 0.2606 0.6452 (multiplicity 8)

This record from the Alexandria database describes a relaxed structure of TiInCuBr6. The functional is PBE.

density = 4.0 g/cm3
E_tot = -3.577 eV/atom
magnetic moment = 0.00 μB per cell
formation energy without anion corrections = -0.83 eV/atom

a = 6.5402 Å, b = 12.7734 Å, c = 7.0083 Å
α = 90.00°, β = 97.72°, γ = 90.00°
Space group C2 (No. 5)
One atom of each set of equivalent atoms:
Ti 0.0000 0.0000 0.0000 (multiplicity 2)
In 0.0000 0.3237 0.5000 (multiplicity 2)
Cu 0.0000 0.7206 0.0000 (multiplicity 2)
Br 0.1639 0.8571 0.8144 (multiplicity 4)
Br 0.1986 0.1392 0.8221 (multiplicity 4)
Br 0.2137 0.5159 0.7309 (multiplicity 4)

This record from the Alexandria database describes a relaxed structure of SmSc2TeO8. The functional is PBE.

density = 5.2 g/cm3
E_tot = -7.468 eV/atom
magnetic moment = 1.31 μB per cell
formation energy without anion corrections = -2.45 eV/atom

a = 6.8175 Å, b = 6.8395 Å, c = 6.7831 Å
α = 90.00°, β = 90.00°, γ = 90.00°
Space group Cmmm (No. 65)
One atom of each set of equivalent atoms:
Sm 0.0000 0.0000 0.0000 (multiplicity 2)
Sc 0.0000 0.5000 0.2607 (multiplicity 4)
Te 0.0000 0.0000 0.5000 (multiplicity 2)
O 0.0000 0.1925 0.2890 (multiplicity 8)
O 0.1706 0.5000 0.0000 (multiplicity 4)
O 0.2117 0.5000 0.5000 (multiplicity 4)

This record from the Alexandria database describes a relaxed structure of TiGaFe. The functional is PBE.

density = 6.7 g/cm3
E_tot = -6.746 eV/atom
magnetic moment = 0.00 μB per cell
formation energy = -285 meV per atom

a = 2.9253 Å, b = 5.5823 Å, c = 10.5711 Å
α = 90.00°, β = 90.00°, γ = 90.00°
Space group Immm (No. 71)
One atom of each set of equivalent atoms:
Ti 0.0000 0.0000 0.1453 (multiplicity 4)
Ga 0.0000 0.5000 0.1340 (multiplicity 4)
Fe 0.0000 0.2601 0.5000 (multiplicity 4)

This record from the Alexandria database describes a relaxed structure of PuGe3Ir3. The functional is PBE.

density = 11.1 g/cm3
E_tot = -7.819 eV/atom
magnetic moment = 11.87 μB per cell
formation energy = 5 meV per atom

a = 6.7721 Å, b = 6.7721 Å, c = 6.7721 Å
α = 90.00°, β = 90.00°, γ = 90.00°
Space group Pm-3n (No. 223)
One atom of each set of equivalent atoms:
Pu 0.0000 0.0000 0.0000 (multiplicity 2)
Ge 0.0000 0.2500 0.5000 (multiplicity 6)
Ir 0.0000 0.5000 0.2500 (multiplicity 6)

This record from the Alexandria database describes a relaxed structure of NaGaRe2Se. The functional is PBE.

density = 8.6 g/cm3
E_tot = -3.938 eV/atom
magnetic moment = 4.56 μB per cell
formation energy without anion corrections = 2.61 eV/atom

a = 4.8026 Å, b = 4.8026 Å, c = 4.5479 Å
α = 90.00°, β = 90.00°, γ = 90.00°
Space group P4/mmm (No. 123)
One atom of each set of equivalent atoms:
Na 0.0000 0.0000 0.0000 (multiplicity 1)
Ga 0.0000 0.0000 0.5000 (multiplicity 1)
Re 0.0000 0.5000 0.0000 (multiplicity 2)
Se 0.5000 0.5000 0.5000 (multiplicity 1)

This record from the Alexandria database describes a relaxed structure of BaMn2. The functional is PBE.

density = 5.2 g/cm3
E_tot = -5.984 eV/atom
magnetic moment = 16.04 μB per cell
formation energy = 770 meV per atom

a = 3.6801 Å, b = 3.6801 Å, c = 11.7559 Å
α = 90.00°, β = 90.00°, γ = 90.00°
Space group I4/mmm (No. 139)
One atom of each set of equivalent atoms:
Ba 0.0000 0.0000 0.0000 (multiplicity 2)
Mn 0.0000 0.0000 0.2942 (multiplicity 4)

This record from the Alexandria database describes a relaxed structure of LaPm3Ho2. The functional is PBE.

density = 7.3 g/cm3
E_tot = -4.413 eV/atom
magnetic moment = 0.00 μB per cell
formation energy = 309 meV per atom

a = 3.4937 Å, b = 5.9726 Å, c = 19.8181 Å
α = 90.00°, β = 90.00°, γ = 90.00°
Space group Immm (No. 71)
One atom of each set of equivalent atoms:
La 0.0000 0.0000 0.0000 (multiplicity 2)
Pm 0.0000 0.0000 0.1929 (multiplicity 4)
Pm 0.0000 0.5000 0.0000 (multiplicity 2)
Ho 0.0000 0.0000 0.3621 (multiplicity 4)

This record from the Alexandria database describes a relaxed structure of Y6Ho2Tm. The functional is PBE.

density = 5.9 g/cm3
excess energy over the best structure of this formula in the dataset = 0.0456 eV per atom
E_tot = -5.713 eV/atom
magnetic moment = 0.00 μB per cell
formation energy = 111 meV per atom

a = 17.0454 Å, b = 3.5048 Å, c = 11.8776 Å
α = 90.00°, β = 124.91°, γ = 90.00°
Space group C2/m (No. 12)
One atom of each set of equivalent atoms:
Y 0.0489 0.0000 0.2493 (multiplicity 4)
Y 0.1141 0.5000 0.0560 (multiplicity 4)
Y 0.2284 0.0000 0.6105 (multiplicity 4)
Ho 0.1704 0.5000 0.8214 (multiplicity 4)
Tm 0.0000 0.0000 0.5000 (multiplicity 2)

This record from the Alexandria database describes a relaxed structure of KCa2TlSe4. The functional is PBE.

density = 4.6 g/cm3
E_tot = -3.878 eV/atom
magnetic moment = 0.00 μB per cell
formation energy without anion corrections = -1.20 eV/atom

a = 8.7214 Å, b = 8.7905 Å, c = 11.9892 Å
α = 90.00°, β = 90.00°, γ = 90.00°
Space group Imma (No. 74)
One atom of each set of equivalent atoms:
K 0.2500 0.2500 0.2500 (multiplicity 4)
Ca 0.0000 0.0000 0.0000 (multiplicity 4)
Ca 0.2500 0.2500 0.7500 (multiplicity 4)
Tl 0.0000 0.0000 0.5000 (multiplicity 4)
Se 0.0000 0.0201 0.7260 (multiplicity 8)
Se 0.2289 0.2500 0.9898 (multiplicity 8)

This record from the Alexandria database describes a relaxed structure of MgAl2P2. The functional is PBE.

density = 2.6 g/cm3
E_tot = -4.216 eV/atom
magnetic moment = 0.00 μB per cell
formation energy = -236 meV per atom

a = 4.3511 Å, b = 4.3511 Å, c = 5.4226 Å
α = 90.00°, β = 90.00°, γ = 120.00°
Space group P-3m1 (No. 164)
One atom of each set of equivalent atoms:
Mg 0.0000 0.0000 0.0000 (multiplicity 1)
Al 0.3333 0.6667 0.3078 (multiplicity 2)
P 0.3333 0.6667 0.7620 (multiplicity 2)

This record from the Alexandria database describes a relaxed structure of NaCaInBr6. The functional is PBE.

density = 3.7 g/cm3
E_tot = -3.163 eV/atom
magnetic moment = 0.00 μB per cell
formation energy without anion corrections = -1.37 eV/atom

a = 7.2222 Å, b = 7.2222 Å, c = 13.2251 Å
α = 90.00°, β = 90.00°, γ = 120.00°
Space group P-31c (No. 163)
One atom of each set of equivalent atoms:
Na 0.0000 0.0000 0.0000 (multiplicity 2)
Ca 0.3333 0.6667 0.2500 (multiplicity 2)
In 0.3333 0.6667 0.7500 (multiplicity 2)
Br 0.0198 0.3646 0.6304 (multiplicity 12)

This record from the Alexandria database describes a relaxed structure of KYRu2. The functional is PBE.

density = 5.2 g/cm3
excess energy over the best structure of this formula in the dataset = 0.2948 eV per atom
E_tot = -5.910 eV/atom
magnetic moment = 2.38 μB per cell
formation energy = 618 meV per atom

a = 3.7391 Å, b = 3.7391 Å, c = 7.5323 Å
α = 90.00°, β = 90.00°, γ = 90.00°
Space group P4/mmm (No. 123)
One atom of each set of equivalent atoms:
K 0.0000 0.0000 0.0000 (multiplicity 1)
Y 0.0000 0.0000 0.5000 (multiplicity 1)
Ru 0.5000 0.5000 0.3381 (multiplicity 2)

This record from the Alexandria database describes a relaxed structure of Li2FeRuPt. The functional is PBE.

density = 7.1 g/cm3
E_tot = -4.431 eV/atom
magnetic moment = 1.94 μB per cell
formation energy = 1091 meV per atom

a = 4.3213 Å, b = 4.3213 Å, c = 4.5865 Å
α = 90.00°, β = 90.00°, γ = 90.00°
Space group P4/mmm (No. 123)
One atom of each set of equivalent atoms:
Li 0.0000 0.5000 0.0000 (multiplicity 2)
Fe 0.0000 0.0000 0.5000 (multiplicity 1)
Ru 0.5000 0.5000 0.5000 (multiplicity 1)
Pt 0.0000 0.0000 0.0000 (multiplicity 1)

This record from the Alexandria database describes a relaxed structure of SmFe4P12. The functional is PBE.

density = 5.2 g/cm3
E_tot = -6.681 eV/atom
magnetic moment = 0.00 μB per cell
formation energy = -594 meV per atom

a = 7.7957 Å, b = 7.7957 Å, c = 7.7957 Å
α = 90.00°, β = 90.00°, γ = 90.00°
Space group Im-3 (No. 204)
One atom of each set of equivalent atoms:
Sm 0.0000 0.0000 0.0000 (multiplicity 2)
Fe 0.2500 0.2500 0.2500 (multiplicity 8)
P 0.0000 0.3528 0.1513 (multiplicity 24)